Below is crystalline PrNd2Er7 at its relaxed geometry, with properties calculated at the PBE level.

Structure (CIF):
```
data_PrNd2Er7
_cell_length_a 6.157
_cell_length_b 7.130
_cell_length_c 7.943
_cell_angle_alpha 77.35
_cell_angle_beta 75.14
_cell_angle_gamma 73.40
_symmetry_space_group_name_H-M 'P 1'
_symmetry_Int_Tables_number 1
loop_
_symmetry_equiv_pos_as_xyz
'x,y,z'
loop_
_atom_site_label
_atom_site_type_symbol
_atom_site_fract_x
_atom_site_fract_y
_atom_site_fract_z
_atom_site_occupancy
Pr1 Pr 0.000 0.000 0.000 1
Nd1 Nd 0.201 0.300 0.600 1
Nd2 Nd 0.799 0.700 0.400 1
Er1 Er 0.000 0.500 0.000 1
Er2 Er 0.200 0.799 0.601 1
Er3 Er 0.399 0.101 0.199 1
Er4 Er 0.401 0.600 0.199 1
Er5 Er 0.599 0.400 0.801 1
Er6 Er 0.601 0.899 0.801 1
Er7 Er 0.800 0.201 0.399 1
```

Properties
N(E_F) (states/eV/atom): 1.296
Energy above the lowest structure with this stoichiometry (eV per atom): 0.000
E_form (eV/atom): 0.021
VASP energy (eV per atom): -4.605

Below is crystalline Pr2Nd5Er12 at its relaxed geometry, with properties calculated at the PBE level.

Structure (CIF):
```
data_Pr2Nd5Er12
_cell_length_a 9.818
_cell_length_b 9.818
_cell_length_c 10.363
_cell_angle_alpha 109.66
_cell_angle_beta 109.66
_cell_angle_gamma 42.28
_symmetry_space_group_name_H-M 'P 1'
_symmetry_Int_Tables_number 1
loop_
_symmetry_equiv_pos_as_xyz
'x,y,z'
loop_
_atom_site_label
_atom_site_type_symbol
_atom_site_fract_x
_atom_site_fract_y
_atom_site_fract_z
_atom_site_occupancy
Pr1 Pr 0.221 0.779 0.000 1
Pr2 Pr 0.779 0.221 0.000 1
Nd1 Nd 0.182 0.182 0.213 1
Nd2 Nd 0.310 0.310 0.815 1
Nd3 Nd 0.500 0.500 0.500 1
Nd4 Nd 0.690 0.690 0.185 1
Nd5 Nd 0.818 0.818 0.787 1
Er1 Er 0.004 0.004 0.671 1
Er2 Er 0.085 0.591 0.480 1
Er3 Er 0.095 0.588 0.132 1
Er4 Er 0.409 0.915 0.520 1
Er5 Er 0.412 0.905 0.868 1
Er6 Er 0.475 0.475 0.755 1
Er7 Er 0.525 0.525 0.245 1
Er8 Er 0.588 0.095 0.132 1
Er9 Er 0.591 0.085 0.480 1
Er10 Er 0.905 0.412 0.868 1
Er11 Er 0.915 0.409 0.520 1
Er12 Er 0.996 0.996 0.329 1
```

Properties
N(E_F) (states/eV/atom): 1.385
Energy above the lowest structure with this stoichiometry (eV per atom): 0.046
E_form (eV/atom): 0.174
VASP energy (eV per atom): -4.465

Below is crystalline Pr2Nd5Er4 at its relaxed geometry, with properties calculated at the PBE level.

Structure (CIF):
```
data_Pr2Nd5Er4
_cell_length_a 12.817
_cell_length_b 12.817
_cell_length_c 12.817
_cell_angle_alpha 164.08
_cell_angle_beta 137.95
_cell_angle_gamma 45.24
_symmetry_space_group_name_H-M 'P 1'
_symmetry_Int_Tables_number 1
loop_
_symmetry_equiv_pos_as_xyz
'x,y,z'
loop_
_atom_site_label
_atom_site_type_symbol
_atom_site_fract_x
_atom_site_fract_y
_atom_site_fract_z
_atom_site_occupancy
Pr1 Pr 0.232 0.232 0.000 1
Pr2 Pr 0.768 0.768 0.000 1
Nd1 Nd 0.160 0.358 0.802 1
Nd2 Nd 0.444 0.642 0.802 1
Nd3 Nd 0.500 0.000 0.500 1
Nd4 Nd 0.556 0.358 0.198 1
Nd5 Nd 0.840 0.642 0.198 1
Er1 Er 0.096 0.096 0.000 1
Er2 Er 0.184 0.500 0.684 1
Er3 Er 0.816 0.500 0.316 1
Er4 Er 0.904 0.904 0.000 1
```

Properties
N(E_F) (states/eV/atom): 1.430
Energy above the lowest structure with this stoichiometry (eV per atom): 0.144
E_form (eV/atom): 0.166
VASP energy (eV per atom): -4.530

Below is crystalline PrNdEr4 at its relaxed geometry, with properties calculated at the PBE level.

Structure (CIF):
```
data_PrNdEr4
_cell_length_a 6.186
_cell_length_b 6.186
_cell_length_c 10.045
_cell_angle_alpha 113.89
_cell_angle_beta 113.89
_cell_angle_gamma 33.64
_symmetry_space_group_name_H-M 'P 1'
_symmetry_Int_Tables_number 1
loop_
_symmetry_equiv_pos_as_xyz
'x,y,z'
loop_
_atom_site_label
_atom_site_type_symbol
_atom_site_fract_x
_atom_site_fract_y
_atom_site_fract_z
_atom_site_occupancy
Pr1 Pr 0.000 0.000 0.000 1
Nd1 Nd 0.000 0.000 0.499 1
Er1 Er 0.332 0.332 0.166 1
Er2 Er 0.332 0.332 0.665 1
Er3 Er 0.668 0.668 0.833 1
Er4 Er 0.669 0.669 0.335 1
```

Properties
N(E_F) (states/eV/atom): 1.377
Energy above the lowest structure with this stoichiometry (eV per atom): 0.000
E_form (eV/atom): 0.014
VASP energy (eV per atom): -4.619

Question: Which of these has the highest N(E_F)?
Answer: Pr2Nd5Er4

Question: Among the records above, which one has the highest N(E_F)?
Answer: Pr2Nd5Er4

Question: Which value of E_form does entry 1 give?
Answer: 0.021 eV/atom

Question: Among the records above, which one has the lowest VASP energy?
Answer: PrNdEr4